{"formula": "CuWF2", "functional": "GGA+U", "state": "optimized geometry", "cell": [[1.460, 0.843, 9.945], [-1.460, 0.843, 9.945], [0.000, -1.686, 9.945]], "species": ["Cu", "W", "F", "F"], "frac_coords": [[0.000, 0.000, 0.000], [0.500, 0.500, 0.500], [0.437, 0.437, 0.437], [0.563, 0.563, 0.563]], "energy_ev_per_fu": -18.0, "sg": "R-3m (166)", "crystal_system": "trigonal", "e_above_lowest_polymorph_mev_per_atom": 0}